MoPIrCl2 at its PBEsol-relaxed geometry, computed with SCAN.

Values from the calculation:
formation energy without anion corrections = 0.782 eV per atom
DOS at the Fermi energy = 2.2 states/eV/cell
raw total energy = -25.69 eV/atom
crystal system = tetragonal

Cell: 4.437 4.878 4.878 Å, 90.00 90.00 90.00°
Fractional positions:
1 P 0.500 0.000 0.000
2 Mo 0.500 0.500 0.500
3 Ir 0.000 0.000 0.000
4 Cl 0.000 0.000 0.500
5 Cl 0.000 0.500 0.000